Record 1
The following is a PBE calculation of an optimized crystal structure of TbErGa2, from the Open Quantum Materials Database.

a b c (Å): 4.3457 4.0346 5.8432
angles (deg): 90.00 111.80 90.00
Last column: nearest neighbours and their distance in Å.
Space group Pm (No. 6)
Symmetry-distinct sites (fractional):
Tb (0.0000, 0.0000, 0.0000)  7 Ga 3.04-3.21
Er (0.2772, 0.5000, 0.5566)  7 Ga 3.04-3.19
Ga (0.5634, 0.5000, 0.1264)  2 Ga 2.62
Ga (0.7161, 0.0000, 0.4348)  2 Ga 2.62

Computed properties:
Its total magnetic moment is 0.05 μB/cell. Its total energy is -17.76 eV/f.u.

Record 2
The following is a PBE calculation of an optimized crystal structure of PmAlPO, from the Open Quantum Materials Database.

a b c (Å): 4.0497 6.7279 5.6924
angles (deg): 90.00 90.00 90.00
Last column: nearest neighbours and their distance in Å.
Space group Pmc2_1 (No. 26)
Symmetry-distinct sites (fractional):
Pm (0.0000, 0.1887, 0.0000)  2 O 2.42
Al (0.5000, 0.3873, 0.6093)  2 O 1.84-1.88
P (0.0000, 0.2339, 0.4956)  2 Al 2.36
O (0.5000, 0.3790, 0.9403)  2 Al 1.84-1.88

Computed properties:
Its total magnetic moment is 0.12 μB/cell. The value obtained for the excess energy over the best structure of this formula in the dataset is 0.011 eV per atom.

Record 3
The following is a PBE calculation of an optimized crystal structure of HoSiNO, from the Open Quantum Materials Database.

a b c (Å): 4.5296 4.5296 4.9013
angles (deg): 90.00 90.00 90.00
Last column: nearest neighbours and their distance in Å.
Space group P4/nmm (No. 129, origin choice 2)
Symmetry-distinct sites (fractional):
Ho (0.2500, 0.7500, 0.0000)  4 N 2.38, 2 O 2.45
Si (0.2500, 0.2500, 0.4993)  1 N 1.73
N (0.2500, 0.2500, 0.8526)  1 Si 1.73
O (0.2500, 0.7500, 0.5000)  4 Si 2.26, 2 Ho 2.45

Computed properties:
Its total magnetic moment is 0.01 μB/cell. The value obtained for the excess energy over the best structure of this formula in the dataset is 0.299 eV per atom.

Record 4
The following is a PBE calculation of an optimized crystal structure of Nd11Sn10, from the Open Quantum Materials Database.

a b c (Å): 11.9570 11.9570 17.7119
angles (deg): 90.00 90.00 90.00
Last column: nearest neighbours and their distance in Å.
Space group I4/mmm (No. 139)
Symmetry-distinct sites (fractional):
Nd (0.0000, 0.0000, 0.1641)  8 Sn 3.52-3.61
Nd (0.0000, 0.2508, 0.3102)  6 Sn 3.17-3.54
Nd (0.0000, 0.3288, 0.1026)  7 Sn 3.17-3.38
Nd (0.1752, 0.1752, 0.5000)  3 Sn 3.04-3.36
Sn (0.0000, 0.0000, 0.3921)  8 Nd 3.33-3.53
Sn (0.0000, 0.3590, 0.5000)  6 Nd 3.04-3.21, 1 Sn 3.37
Sn (0.0000, 0.5000, 0.2500)  8 Nd 3.17-3.32
Sn (0.1264, 0.1264, 0.0000)  2 Sn 3.02, 5 Nd 3.36-3.38
Sn (0.2077, 0.2077, 0.1776)  1 Sn 2.94, 2 Nd 3.17

Computed properties:
Its total magnetic moment is 4.37 μB/cell. Its total energy is -108.46 eV/f.u.

Record 5
The following is a PBE calculation of an optimized crystal structure of K2ZnCdP2, from the Open Quantum Materials Database.

a b c (Å): 4.2717 4.2717 10.0799
angles (deg): 90.00 90.00 120.00
Last column: nearest neighbours and their distance in Å.
Space group P-6m2 (No. 187)
Symmetry-distinct sites (fractional):
K (0.0000, 0.0000, 0.2482)  3 Zn 3.51, 6 P 3.51-3.54, 3 Cd 3.54
Zn (0.6667, 0.3333, 0.0000)  3 P 2.47
Cd (0.3333, 0.6667, 0.5000)  3 P 2.47
P (0.3333, 0.6667, 0.0000)  3 Zn 2.47
P (0.6667, 0.3333, 0.5000)  3 Cd 2.47

Computed properties:
Its total energy is -17.45 eV/f.u.

Record 6
The following is a PBE calculation of an optimized crystal structure of TaSiNO, from the Open Quantum Materials Database.

a b c (Å): 3.2192 3.2192 8.3567
angles (deg): 90.00 90.00 90.00
Last column: nearest neighbours and their distance in Å.
Space group P4/nmm (No. 129, origin choice 2)
Symmetry-distinct sites (fractional):
Ta (0.2500, 0.2500, 0.1651)  4 O 2.12
Si (0.2500, 0.7500, 0.5000)  4 Si 2.28
N (0.2500, 0.2500, 0.7517)  4 Ta 2.38, 4 O 2.63, 4 Si 2.65
O (0.2500, 0.7500, 0.0000)  4 Ta 2.12, 4 O 2.28

Computed properties:
Its total magnetic moment is 0.00 μB/cell. The value obtained for the excess energy over the best structure of this formula in the dataset is 0.592 eV per atom.

Record 7
The following is a PBE calculation of an optimized crystal structure of Sr2Nd2O5, from the Open Quantum Materials Database.

a b c (Å): 4.4641 4.4641 8.4158
angles (deg): 90.00 90.00 90.00
Last column: nearest neighbours and their distance in Å.
Space group P4/mmm (No. 123)
Symmetry-distinct sites (fractional):
Sr (0.0000, 0.0000, 0.0000)  8 O 2.72
Sr (0.0000, 0.0000, 0.5000)  12 O 3.16-3.47
Nd (0.5000, 0.5000, 0.2367)  5 O 2.22-2.27
O (0.0000, 0.5000, 0.1847)  2 Nd 2.27
O (0.5000, 0.5000, 0.5000)  2 Nd 2.22

Computed properties:
Its total magnetic moment is 0.00 μB/cell. The value obtained for the excess energy over the best structure of this formula in the dataset is 0.000 eV per atom.

Record 8
The following is a PBE calculation of an optimized crystal structure of LaNdB2Os2N2, from the Open Quantum Materials Database.

a b c (Å): 3.7443 3.7443 7.9572
angles (deg): 90.00 90.00 90.00
Last column: nearest neighbours and their distance in Å.
Space group P4mm (No. 99)
Symmetry-distinct sites (fractional):
La (0.0000, 0.0000, 0.0000)  5 N 2.49-2.65
Nd (0.5000, 0.5000, 0.6709)  5 N 2.50-2.65
B (0.0000, 0.0000, 0.4990)  1 N 1.50
B (0.5000, 0.5000, 0.1730)  1 N 1.50
Os (0.0000, 0.5000, 0.3377)  4 B 2.27-2.29
N (0.0000, 0.0000, 0.6869)  1 B 1.50
N (0.5000, 0.5000, 0.9850)  1 B 1.50

Computed properties:
Its total magnetic moment is 0.00 μB/cell. Its total energy is -69.03 eV/f.u.

Repeat the sixth record exactly.
The following is a PBE calculation of an optimized crystal structure of TaSiNO, from the Open Quantum Materials Database.

a b c (Å): 3.2192 3.2192 8.3567
angles (deg): 90.00 90.00 90.00
Last column: nearest neighbours and their distance in Å.
Space group P4/nmm (No. 129, origin choice 2)
Symmetry-distinct sites (fractional):
Ta (0.2500, 0.2500, 0.1651)  4 O 2.12
Si (0.2500, 0.7500, 0.5000)  4 Si 2.28
N (0.2500, 0.2500, 0.7517)  4 Ta 2.38, 4 O 2.63, 4 Si 2.65
O (0.2500, 0.7500, 0.0000)  4 Ta 2.12, 4 O 2.28

Computed properties:
Its total magnetic moment is 0.00 μB/cell. The value obtained for the excess energy over the best structure of this formula in the dataset is 0.592 eV per atom.